Material: Pr3AgPd3
Method: DFT, PBE
State: optimized geometry

Cell and atoms, written as POSCAR:
```
Pr3AgPd3
1.0
4.186 0.000 0.000
-2.093 5.417 0.000
0.000 0.000 14.926
Pr Ag Pd
6 2 6
direct
0.176 0.352 0.601
0.176 0.352 0.899
0.553 0.105 0.250
0.824 0.648 0.101
0.447 0.895 0.750
0.824 0.648 0.399
0.500 0.000 0.500
0.500 0.000 0.000
0.723 0.446 0.750
0.277 0.554 0.250
0.888 0.775 0.603
0.112 0.225 0.397
0.888 0.775 0.897
0.112 0.225 0.103
```

Output
The space-group type is No. 63. Its crystal system is orthorhombic. The energy above the most stable polymorph in this dataset is 0.0000 eV per atom. Its total magnetic moment is 0.000 μB/atom. The value obtained for the energy is -74.9 eV/cell.